Material: GaCu4Sn
Method: DFT, PBE
State: relaxed

Summary:
ΔE_f, eV per atom: -0.059
E, eV/atom: -3.961
E above lowest polymorph, eV per atom: 0.000

Cell: 9.179 9.179 5.140 Å, 90.00 90.00 155.78°
Fractional positions:
1 Ga 0.074 0.926 0.750
2 Ga 0.926 0.074 0.250
3 Cu 0.073 0.927 0.250
4 Cu 0.359 0.641 0.501
5 Cu 0.359 0.641 0.999
6 Cu 0.500 0.500 0.000
7 Cu 0.500 0.500 0.500
8 Cu 0.641 0.359 0.001
9 Cu 0.641 0.359 0.499
10 Cu 0.927 0.073 0.750
11 Sn 0.227 0.773 0.250
12 Sn 0.773 0.227 0.750